PrVClO4 PBE with a Hubbard U relaxed; total magnetization = 0.142 μB/atom; calculated density = 3.559 g/cm³; N(E_F) = 0.10 states/eV/atom; energy = -6.991 eV/atom
1.0
5.492 -3.651 0.000
5.492 3.651 0.000
-1.331 0.000 6.779
Pr V Cl O
2 2 2 8
direct
0.248 0.248 0.371
0.752 0.752 0.629
0.132 0.132 0.770
0.868 0.868 0.230
0.482 0.482 0.682
0.518 0.518 0.318
0.005 0.371 0.648
0.029 0.029 0.269
0.191 0.191 0.021
0.371 0.005 0.648
0.629 0.995 0.352
0.809 0.809 0.979
0.971 0.971 0.731
0.995 0.629 0.352